[1]
Below is MnAsPt at its PBEsol-relaxed geometry, with properties calculated at the meta-GGA SCAN level.

Lattice parameters (Å, degrees): 4.0146 4.0146 4.0146 60.00 60.00 60.00
Atoms (fractional coordinates):
Mn  0.0000  0.0000  0.0000
As  0.7500  0.7500  0.7500
Pt  0.5000  0.5000  0.5000

Calculated values
formation energy: -33.3 kJ/mol of atoms
SG: No. 216

[2]
Below is TcMo2W at its PBEsol-relaxed geometry, with properties calculated at the meta-GGA SCAN level.

Lattice parameters (Å, degrees): 3.1115 3.1115 6.2420 90.00 90.00 90.00
Atoms (fractional coordinates):
Tc  0.0000  0.0000  0.0000
Mo  0.0000  0.0000  0.4973
Mo  0.5000  0.5000  0.7361
W  0.5000  0.5000  0.2418

Calculated values
formation energy: 1.0 kJ/mol of atoms
SG: No. 99

[3]
Below is YMnSi2 at its PBEsol-relaxed geometry, with properties calculated at the meta-GGA SCAN level.

Lattice parameters (Å, degrees): 2.9665 2.9665 6.7435 90.00 90.00 90.00
Atoms (fractional coordinates):
Y  0.0000  0.0000  0.0000
Mn  0.0000  0.0000  0.5000
Si  0.5000  0.5000  0.3152
Si  0.5000  0.5000  0.6848

Calculated values
SG: No. 123
raw formation energy: -312 meV per atom